1.
! PBE NaLi5As2Pt, optimized geometry; values from VASP
! SG = P4/mmm
! ρ = 3.219 Mg/m³
! raw total energy = -30.4 eV for the cell shown
! calculated formation energy = -4.19 eV/f.u.
&SYSTEM
  ibrav = 0, nat = 9, ntyp = 4
/
ATOMIC_SPECIES
Na 22.99 Na.upf
Li 6.94 Li.upf
As 74.92 As.upf
Pt 195.08 Pt.upf
CELL_PARAMETERS angstrom
4.6912 0.0000 0.0000
0.0000 4.6912 0.0000
0.0000 0.0000 9.4372
ATOMIC_POSITIONS crystal
Na 0.0000 0.0000 0.0000
Li 0.0000 0.5000 0.3405
Li 0.0000 0.5000 0.6595
Li 0.5000 0.0000 0.3405
Li 0.5000 0.0000 0.6595
Li 0.5000 0.5000 0.0000
As 0.5000 0.5000 0.2412
As 0.5000 0.5000 0.7588
Pt 0.5000 0.5000 0.5000

---

2.
! PBE NaLi2PuAs2, optimized geometry; values from VASP
! SG = P-3m1
! ρ = 6.080 Mg/m³
! raw total energy = -33.2 eV for the cell shown
! calculated formation energy = -4.43 eV/f.u.
&SYSTEM
  ibrav = 0, nat = 6, ntyp = 4
/
ATOMIC_SPECIES
Na 22.99 Na.upf
Li 6.94 Li.upf
Pu 244.00 Pu.upf
As 74.92 As.upf
CELL_PARAMETERS angstrom
4.3643 0.0000 0.0000
-2.1821 3.7796 0.0000
0.0000 0.0000 7.1312
ATOMIC_POSITIONS crystal
Na 0.0000 0.0000 0.0000
Li 0.3333 0.6667 0.1814
Li 0.6667 0.3333 0.8186
Pu 0.0000 0.0000 0.5000
As 0.3333 0.6667 0.7318
As 0.6667 0.3333 0.2682